(1)
HoScAu | PBE | relaxed

Properties
- excess energy over the best structure of this formula in the dataset (eV/atom) = 0.000
- E_form (eV per atom) = -0.641
- electronic total energy (eV/atom) = -5.37

Lattice parameters (Å, degrees): 7.209 8.649 8.649 66.83 65.37 65.37
Positions (direct):
1 Ho 0.343 0.750 0.250
2 Sc 0.498 0.127 0.128
3 Au 0.420 0.333 0.333
4 Sc 0.008 0.000 0.000
5 Sc 0.753 0.873 0.872
6 Sc 0.498 0.628 0.627
7 Au 0.753 0.250 0.750
8 Ho 0.754 0.955 0.455
9 Ho 0.163 0.045 0.545
10 Au 0.086 0.167 0.167
11 Ho 0.343 0.250 0.750
12 Au 0.754 0.750 0.250
13 Au 0.420 0.833 0.833
14 Sc 0.008 0.500 0.500
15 Sc 0.753 0.372 0.373
16 Ho 0.754 0.455 0.955
17 Ho 0.163 0.545 0.045
18 Au 0.086 0.667 0.667

=====

(2)
HoSc2Au | PBE | relaxed

Properties
- excess energy over the best structure of this formula in the dataset (eV/atom) = 0.194
- E_form (eV per atom) = -0.237
- electronic total energy (eV/atom) = -5.37

Lattice parameters (Å, degrees): 3.517 3.517 9.614 79.46 79.46 60.00
Last column: magnetic moment on the atom in μB.
Positions (direct):
1 Au 0.666 0.666 0.003  0.00
2 Ho 0.501 0.501 0.496  0.16
3 Sc 0.070 0.070 0.791  0.10
4 Sc 0.263 0.263 0.210  0.03

=====

(3)
Ho3ScAu4 | PBE | relaxed

Properties
- E_form (eV per atom) = -0.845
- electronic total energy (eV/atom) = -4.99

Lattice parameters (Å, degrees): 3.521 5.026 10.039 90.00 90.00 90.00
Positions (direct):
1 Au 0.000 0.500 0.237
2 Au 0.000 0.500 0.763
3 Au 0.000 0.000 0.500
4 Ho 0.500 0.500 0.500
5 Sc 0.500 0.500 0.000
6 Au 0.000 0.000 0.000
7 Ho 0.500 0.000 0.247
8 Ho 0.500 0.000 0.753

=====

| no. | size of the total moment (μB/f.u.) |
| --- | --- |
| 1 | 0.00 |
| 2 | 0.43 |
| 3 | 0.00 |